## BaCo2F (PBE+U)

Data for a geometry-optimized BaCo2F structure.

Cell: 4.410 4.410 10.471 Å, 77.84 77.84 90.00°
Last column: magnetic moment on the atom in μB.
Fractional coordinates of all 8 atoms:
Co 0.375 0.125 0.250  2.12
Co 0.375 0.625 0.250  2.12
Co 0.375 0.625 0.750  2.06
Co 0.875 0.625 0.750  2.06
Ba 0.000 0.000 0.000  -0.06
Ba 0.750 0.250 0.500  -0.06
F 0.500 0.500 0.000  0.04
F 0.250 0.750 0.500  0.04

Electronic total energy = -0.2731 Ry/atom
Offset from the most stable computed form = 0.00 eV/f.u.
DOS(E_F) = 1.85 states/eV/f.u.